one) ## BeGa2Sb (PBE-GGA)

Data for a relaxed structure of BeGa2Sb.

Lattice parameters (Å, degrees): 4.7938 4.7938 4.7938 60.00 60.00 60.00
Sites, in units of the cell vectors:
Be 0.0000 0.0000 0.0000
Ga 0.2500 0.2500 0.2500
Ga 0.7500 0.7500 0.7500
Sb 0.5000 0.5000 0.5000

two) ## BeGa2Sb (PBE-GGA)

Data for a relaxed structure of BeGa2Sb.

Lattice parameters (Å, degrees): 6.7638 6.7638 6.7638 127.15 127.15 78.00
Sites, in units of the cell vectors:
Be 0.0000 0.0000 0.0000
Be 0.7500 0.2500 0.5000
Ga 0.0696 0.6250 0.9446
Ga 0.3750 0.3196 0.4446
Ga 0.6804 0.1250 0.0554
Ga 0.8750 0.9304 0.5554
Sb 0.2500 0.7500 0.5000
Sb 0.5000 0.5000 0.0000

How do the energies compare? Relative to the most stable structure, in meV per atom: one) 76; two) 0.

one) ## BeGaSb2Te (PBE-GGA)

Data for a relaxed structure of BeGaSb2Te.

Lattice parameters (Å, degrees): 4.8542 4.8542 5.4361 90.00 90.00 90.00
Sites, in units of the cell vectors:
Be 0.0000 0.0000 0.0000
Ga 0.5000 0.5000 0.5000
Sb 0.0000 0.5000 0.0000
Sb 0.5000 0.0000 0.0000
Te 0.0000 0.0000 0.5000

two) ## BeGaSb2Te (PBE-GGA)

Data for a relaxed structure of BeGaSb2Te.

Lattice parameters (Å, degrees): 5.3067 5.3067 5.3563 90.00 90.00 90.00
Sites, in units of the cell vectors:
Be 0.0000 0.0000 0.0000
Ga 0.5000 0.5000 0.5000
Sb 0.0000 0.5000 0.5000
Sb 0.5000 0.0000 0.5000
Te 0.5000 0.5000 0.0000

How do the energies compare? Relative to the most stable structure, in meV per atom: one) 0; two) 630.

one) ## ScBeGa (PBE-GGA)

Data for a relaxed structure of ScBeGa.

Lattice parameters (Å, degrees): 12.3530 12.3530 12.3530 24.09 24.09 24.09
Sites, in units of the cell vectors:
Sc 0.0388 0.0388 0.0388
Sc 0.1822 0.1822 0.1822
Sc 0.2668 0.2668 0.2668
Sc 0.7332 0.7332 0.7332
Sc 0.8178 0.8178 0.8178
Sc 0.9612 0.9612 0.9612
Be 0.0000 0.5000 0.5000
Be 0.3839 0.3839 0.3839
Be 0.5000 0.0000 0.5000
Be 0.5000 0.5000 0.0000
Be 0.5000 0.5000 0.5000
Be 0.6161 0.6161 0.6161
Ga 0.2206 0.7246 0.7246
Ga 0.2754 0.2754 0.7794
Ga 0.2754 0.7794 0.2754
Ga 0.7246 0.2206 0.7246
Ga 0.7246 0.7246 0.2206
Ga 0.7794 0.2754 0.2754

two) ## ScBeGa (PBE-GGA)

Data for a relaxed structure of ScBeGa.

Lattice parameters (Å, degrees): 4.1100 4.1100 4.1100 60.00 60.00 60.00
Sites, in units of the cell vectors:
Sc 0.0000 0.0000 0.0000
Be 0.7500 0.7500 0.7500
Ga 0.5000 0.5000 0.5000

How do the energies compare? Relative to the most stable structure, in meV per atom: one) 51; two) 0.

one) ## ScBeGa (PBE-GGA)

Data for a relaxed structure of ScBeGa.

Lattice parameters (Å, degrees): 7.0724 7.0724 7.0724 33.54 33.54 33.54
Sites, in units of the cell vectors:
Sc 0.0000 0.0000 0.0000
Sc 0.1647 0.1647 0.1647
Be 0.2887 0.2887 0.2887
Be 0.7404 0.7404 0.7404
Ga 0.4159 0.4159 0.4159
Ga 0.5879 0.5879 0.5879

two) ## ScBeGa (PBE-GGA)

Data for a relaxed structure of ScBeGa.

Lattice parameters (Å, degrees): 5.6292 4.1294 8.1999 90.00 90.00 90.00
Sites, in units of the cell vectors:
Sc 0.1632 0.2500 0.0881
Sc 0.3368 0.7500 0.5881
Sc 0.6632 0.2500 0.4119
Sc 0.8368 0.7500 0.9119
Be 0.0351 0.2500 0.7171
Be 0.4649 0.7500 0.2171
Be 0.5351 0.2500 0.7829
Be 0.9649 0.7500 0.2829
Ga 0.1509 0.2500 0.4136
Ga 0.3491 0.7500 0.9136
Ga 0.6509 0.2500 0.0864
Ga 0.8491 0.7500 0.5864

three) ## ScBeGa (PBE-GGA)

Data for a relaxed structure of ScBeGa.

Lattice parameters (Å, degrees): 5.2287 5.2287 6.5235 128.59 128.59 45.41
Sites, in units of the cell vectors:
Sc 0.0279 0.0279 0.2749
Sc 0.9721 0.9721 0.7251
Be 0.3451 0.3451 0.8782
Be 0.6549 0.6549 0.1218
Ga 0.3243 0.3243 0.2842
Ga 0.6757 0.6757 0.7158

four) ## ScBeGa (PBE-GGA)

Data for a relaxed structure of ScBeGa.

Lattice parameters (Å, degrees): 5.6449 4.1399 7.8934 90.00 90.00 90.00
Sites, in units of the cell vectors:
Sc 0.1734 0.2500 0.0821
Sc 0.3266 0.7500 0.5821
Sc 0.6734 0.2500 0.4179
Sc 0.8266 0.7500 0.9179
Be 0.1423 0.2500 0.4194
Be 0.3577 0.7500 0.9194
Be 0.6423 0.2500 0.0806
Be 0.8577 0.7500 0.5806
Ga 0.0225 0.2500 0.7166
Ga 0.4775 0.7500 0.2166
Ga 0.5225 0.2500 0.7834
Ga 0.9775 0.7500 0.2834

How do the energies compare? Relative to the most stable structure, in meV per atom: one) 71; two) 234; three) 0; four) 147.